A plane-wave DFT calculation with GGA-PBE was carried out for a geometry-optimized Pr4Er8Pu structure.

Summary:
Crystal system: trigonal
M_tot (μB/atom): 0.553
V (Å³/f.u.): 468
Space-group type: R-3m, No. 166
Calculated formation energy (eV/atom): 0.5473
Final energy (eV/cell): -62.838

Lattice parameters (Å, degrees): 7.7652 7.7652 7.7652 90.24 90.24 90.24
Last column: nearest neighbours and their distance in Å.
Atoms (fractional coordinates):
1 Pr 0.0000 0.0000 0.0000  8 Er 3.27-3.29
2 Pr 0.0000 0.5000 0.5000  8 Er 3.39
3 Pr 0.5000 0.0000 0.5000  8 Er 3.39
4 Pr 0.5000 0.5000 0.0000  8 Er 3.39
5 Er 0.2432 0.2432 0.7543  4 Pr 3.29-3.39, 1 Pu 3.45
6 Er 0.2432 0.7543 0.2432  4 Pr 3.29-3.39, 1 Pu 3.45
7 Er 0.2441 0.2441 0.2441  4 Pr 3.27-3.39, 1 Pu 3.43
8 Er 0.2457 0.7568 0.7568  4 Pr 3.29-3.39, 1 Pu 3.45
9 Er 0.7543 0.2432 0.2432  4 Pr 3.29-3.39, 1 Pu 3.45
10 Er 0.7559 0.7559 0.7559  4 Pr 3.27-3.39, 1 Pu 3.43
11 Er 0.7568 0.2457 0.7568  4 Pr 3.29-3.39, 1 Pu 3.45
12 Er 0.7568 0.7568 0.2457  4 Pr 3.29-3.39, 1 Pu 3.45
13 Pu 0.5000 0.5000 0.5000  8 Er 3.43-3.45